The following is a PBE calculation of a relaxed structure of Ba6Li2Ti16O39, from Alexandria via LeMat-Bulk.

Structure (CIF):
```
data_Ba6Li2Ti16O39
_cell_length_a 15.371
_cell_length_b 11.774
_cell_length_c 9.203
_cell_angle_alpha 90.00
_cell_angle_beta 98.76
_cell_angle_gamma 90.00
_symmetry_space_group_name_H-M 'C 1 2/m 1'
_symmetry_Int_Tables_number 12
loop_
_symmetry_equiv_pos_as_xyz
'x,y,z'
'-x,-y,-z'
'-x,y,-z'
'x,-y,z'
'x+1/2,y+1/2,z'
'-x+1/2,-y+1/2,-z'
'-x+1/2,y+1/2,-z'
'x+1/2,-y+1/2,z'
loop_
_atom_site_label
_atom_site_type_symbol
_atom_site_fract_x
_atom_site_fract_y
_atom_site_fract_z
Ba1 Ba 0.051 0.000 0.271
Ba2 Ba 0.051 0.338 0.265
Li1 Li 0.234 0.500 0.262
Ti1 Ti 0.120 0.162 0.595
Ti2 Ti 0.122 0.500 0.583
Ti3 Ti 0.165 0.500 0.942
Ti4 Ti 0.172 0.161 0.936
Ti5 Ti 0.243 0.169 0.271
O1 O 0.000 0.182 0.500
O2 O 0.000 0.500 0.500
O3 O 0.072 0.164 0.798
O4 O 0.072 0.500 0.796
O5 O 0.115 0.000 0.593
O6 O 0.117 0.500 0.103
O7 O 0.133 0.168 0.118
O8 O 0.138 0.333 0.615
O9 O 0.159 0.500 0.413
O10 O 0.168 0.167 0.413
O11 O 0.201 0.000 0.937
O12 O 0.201 0.333 0.928
O13 O 0.234 0.171 0.739
O14 O 0.240 0.500 0.735
```

Computed properties:
density of states at the Fermi level: 0.0000 states/eV per atom
raw total energy: -8.35 eV/atom
energy relative to the elements, uncorrected: -3033 meV per atom
size of the total moment: 0.001 μB per formula unit